i.
Entry from the Alexandria database: CrOsRu3 after structural relaxation (PBE-GGA).

space-group type	No. 11
magnetization	0.0009	μB/atom

a = 3.804 Å, b = 5.963 Å, c = 6.026 Å
α = 89.75°, β = 90.00°, γ = 90.00°
Element x y z (fractional)
Ru 0.250 0.240 0.755
Ru 0.750 0.760 0.245
Ru 0.250 0.659 0.955
Ru 0.750 0.150 0.445
Ru 0.750 0.341 0.045
Ru 0.250 0.850 0.555
Cr 0.250 0.054 0.154
Cr 0.750 0.946 0.846
Os 0.750 0.551 0.652
Os 0.250 0.449 0.348

***

ii.
Entry from the Alexandria database: CrOsRu3 after structural relaxation (PBE-GGA).

space-group type	No. 221
magnetization	0.0000	μB/atom

a = 4.328 Å, b = 4.328 Å, c = 4.328 Å
α = 90.00°, β = 90.00°, γ = 90.00°
Element x y z (fractional)
Os 0.500 0.500 0.500
Cr 0.000 0.000 0.000
Ru 0.000 0.000 0.500
Ru 0.000 0.500 0.000
Ru 0.500 0.000 0.000

***

The computed energies, referenced to the most stable structure and given in eV/atom, are i 0.000; ii 1.483.

***

i.
Entry from the Alexandria database: ScCr2Os after structural relaxation (PBE-GGA).

space-group type	No. 47
magnetization	0.1748	μB/atom

a = 3.085 Å, b = 4.286 Å, c = 4.466 Å
α = 90.00°, β = 90.00°, γ = 90.00°
Element x y z (fractional)
Sc 0.000 0.500 0.500
Cr 0.500 0.500 0.000
Cr 0.000 0.000 0.000
Os 0.500 0.000 0.500

***

ii.
Entry from the Alexandria database: ScCr2Os after structural relaxation (PBE-GGA).

space-group type	No. 160
magnetization	0.0000	μB/atom

a = 8.553 Å, b = 8.553 Å, c = 8.553 Å
α = 19.08°, β = 19.08°, γ = 19.08°
Element x y z (fractional)
Sc 0.253 0.253 0.253
Cr 0.744 0.744 0.744
Cr 0.012 0.012 0.012
Os 0.491 0.491 0.491

***

iii.
Entry from the Alexandria database: ScCr2Os after structural relaxation (PBE-GGA).

space-group type	No. 47
magnetization	0.0000	μB/atom

a = 2.827 Å, b = 4.092 Å, c = 5.292 Å
α = 90.00°, β = 90.00°, γ = 90.00°
Element x y z (fractional)
Cr 0.000 0.000 0.441
Cr 0.000 0.000 0.059
Os 0.500 0.500 0.250
Sc 0.500 0.500 0.750

***

The computed energies, referenced to the most stable structure and given in eV/atom, are i 0.000; ii 0.260; iii 0.237.

***

i.
Entry from the Alexandria database: ScCr2Os after structural relaxation (PBE-GGA).

space-group type	No. 123
magnetization	0.0012	μB/atom

a = 4.318 Å, b = 4.318 Å, c = 3.013 Å
α = 90.00°, β = 90.00°, γ = 90.00°
Element x y z (fractional)
Sc 0.000 0.500 0.500
Cr 0.000 0.000 0.000
Cr 0.500 0.500 0.000
Os 0.500 0.000 0.500

***

ii.
Entry from the Alexandria database: ScCr2Os after structural relaxation (PBE-GGA).

space-group type	No. 225
magnetization	0.0000	μB/atom

a = 4.291 Å, b = 4.291 Å, c = 4.291 Å
α = 60.00°, β = 60.00°, γ = 60.00°
Element x y z (fractional)
Sc 0.000 0.000 0.000
Cr 0.250 0.250 0.250
Cr 0.750 0.750 0.750
Os 0.500 0.500 0.500

***

The computed energies, referenced to the most stable structure and given in eV/atom, are i 0.096; ii 0.000.

***

i.
Entry from the Alexandria database: ScCr2Os after structural relaxation (PBE-GGA).

space-group type	No. 12
magnetization	0.0000	μB/atom

a = 4.975 Å, b = 4.975 Å, c = 2.720 Å
α = 79.93°, β = 79.93°, γ = 116.87°
Element x y z (fractional)
Cr 0.000 0.000 0.000
Cr 0.500 0.500 0.000
Os 0.500 0.000 0.500
Sc 0.000 0.500 0.500

***

ii.
Entry from the Alexandria database: ScCr2Os after structural relaxation (PBE-GGA).

space-group type	No. 10
magnetization	0.0000	μB/atom

a = 4.227 Å, b = 2.736 Å, c = 5.055 Å
α = 78.04°, β = 90.00°, γ = 90.00°
Element x y z (fractional)
Cr 0.000 0.504 0.480
Cr 0.000 0.996 0.020
Os 0.500 0.250 0.250
Sc 0.500 0.750 0.750

***

iii.
Entry from the Alexandria database: ScCr2Os after structural relaxation (PBE-GGA).

space-group type	No. 139
magnetization	0.0000	μB/atom

a = 5.078 Å, b = 5.078 Å, c = 5.078 Å
α = 137.92°, β = 137.92°, γ = 61.02°
Element x y z (fractional)
Cr 0.500 0.500 0.000
Cr 0.000 0.000 0.000
Sc 0.750 0.250 0.500
Os 0.250 0.750 0.500

***

iv.
Entry from the Alexandria database: ScCr2Os after structural relaxation (PBE-GGA).

space-group type	No. 166
magnetization	0.0001	μB/atom

a = 8.977 Å, b = 8.977 Å, c = 8.977 Å
α = 17.69°, β = 17.69°, γ = 17.69°
Element x y z (fractional)
Sc 0.250 0.250 0.250
Os 0.750 0.750 0.750
Cr 0.495 0.495 0.495
Cr 0.005 0.005 0.005

***

The computed energies, referenced to the most stable structure and given in eV/atom, are i 0.020; ii 0.000; iii 0.162; iv 0.273.

***

i.
Entry from the Alexandria database: ScCr2Os after structural relaxation (PBE-GGA).

space-group type	No. 65
magnetization	0.0000	μB/atom

a = 4.973 Å, b = 4.973 Å, c = 2.668 Å
α = 90.00°, β = 90.00°, γ = 119.05°
Element x y z (fractional)
Cr 0.500 0.500 0.000
Cr 0.000 0.000 0.000
Os 0.500 0.000 0.500
Sc 0.000 0.500 0.500

***

ii.
Entry from the Alexandria database: ScCr2Os after structural relaxation (PBE-GGA).

space-group type	No. 35
magnetization	0.0000	μB/atom

a = 2.724 Å, b = 2.724 Å, c = 8.377 Å
α = 90.00°, β = 90.00°, γ = 112.40°
Element x y z (fractional)
Os 0.000 0.000 0.481
Cr 0.000 0.000 0.030
Cr 0.500 0.500 0.236
Sc 0.500 0.500 0.753

***

The computed energies, referenced to the most stable structure and given in eV/atom, are i 0.128; ii 0.000.

***

i.
Entry from the Alexandria database: ScCr2Os after structural relaxation (PBE-GGA).

space-group type	No. 216
magnetization	0.2038	μB/atom

a = 4.346 Å, b = 4.346 Å, c = 4.346 Å
α = 119.97°, β = 119.97°, γ = 90.05°
Element x y z (fractional)
Sc 0.750 0.250 0.500
Cr 0.250 0.750 0.500
Cr 0.000 0.000 0.000
Os 0.500 0.500 0.000

***

ii.
Entry from the Alexandria database: ScCr2Os after structural relaxation (PBE-GGA).

space-group type	No. 6
magnetization	0.0000	μB/atom

a = 4.161 Å, b = 2.765 Å, c = 5.033 Å
α = 79.35°, β = 90.00°, γ = 90.00°
Element x y z (fractional)
Cr 0.000 0.034 0.016
Cr 0.500 0.226 0.246
Sc 0.500 0.756 0.754
Os 0.000 0.484 0.483

***

The computed energies, referenced to the most stable structure and given in eV/atom, are i 0.000; ii 0.100.